Below is a relaxed structure of Cs4Ho3FeO8, with properties calculated at the PBE+U level.

Computed properties:
* M_tot: 5.1 μB/cell
* calculated density: 7.0 Mg/m³
* symmetry: No. 166
* raw total energy: -98.4 eV per cell

Structure (POSCAR):
```
Cs4Ho3FeO8
1.0
-3.506 -3.155 -5.111
-5.901 -1.609 5.041
1.754 6.703 -0.610
Ho O Cs Fe
3 8 4 1
Cartesian
-3.826 0.970 -0.340 Ho
-2.073 2.547 2.216 Ho
-4.703 -2.382 -0.035 Ho
-4.814 2.973 -1.003 O
-4.669 -2.680 -2.345 O
-1.989 2.318 -0.066 O
-5.664 -0.379 -0.613 O
-2.838 -1.033 0.323 O
-3.902 1.124 1.983 O
-3.751 0.816 -2.662 O
-2.984 4.620 1.665 O
-0.876 1.774 -2.860 Cs
0.000 0.000 0.000 Cs
0.877 3.352 -0.305 Cs
-1.753 -1.577 -2.555 Cs
-2.950 -0.805 2.521 Fe
```